Record 1
Compound: BP2IrI
Source: Alexandria
Functional: PBE
Structure: relaxed

N(E_F) = 0.78 states/eV/atom
ΔE_f (raw) = 349 kJ/mol of formula units

Unit cell a=4.838 b=4.838 c=4.065 alpha=90.00 beta=90.00 gamma=90.00
Space group P4/mmm (No. 123)
One atom of each set of equivalent atoms:
B: 0.000 0.000 0.000 (multiplicity 1)
P: 0.000 0.500 0.500 (multiplicity 2)
Ir: 0.000 0.000 0.500 (multiplicity 1)
I: 0.500 0.500 0.000 (multiplicity 1)


Record 2
Compound: BSbIrI2
Source: Alexandria
Functional: PBE
Structure: relaxed

ΔE to the lowest computed polymorph = 179 meV per atom
N(E_F) = 1.02 states/eV/atom
ΔE_f (raw) = 710 kJ/mol of formula units

Unit cell a=4.794 b=4.794 c=4.850 alpha=90.00 beta=90.00 gamma=90.00
Space group P4/mmm (No. 123)
One atom of each set of equivalent atoms:
B: 0.000 0.000 0.000 (multiplicity 1)
Sb: 0.000 0.000 0.500 (multiplicity 1)
Ir: 0.500 0.500 0.500 (multiplicity 1)
I: 0.000 0.500 0.000 (multiplicity 2)


Record 3
Compound: BSb2IrI
Source: Alexandria
Functional: PBE
Structure: relaxed

ΔE to the lowest computed polymorph = 106 meV per atom
N(E_F) = 1.02 states/eV/atom
ΔE_f (raw) = 643 kJ/mol of formula units

Unit cell a=5.087 b=5.087 c=5.801 alpha=90.00 beta=90.00 gamma=90.00
Space group P4/mmm (No. 123)
One atom of each set of equivalent atoms:
B: 0.000 0.000 0.000 (multiplicity 1)
Sb: 0.000 0.500 0.500 (multiplicity 2)
Ir: 0.500 0.500 0.500 (multiplicity 1)
I: 0.500 0.500 0.000 (multiplicity 1)


Record 4
Compound: BSb2IrI
Source: Alexandria
Functional: PBE
Structure: relaxed

ΔE to the lowest computed polymorph = 0 meV per atom
N(E_F) = 0.57 states/eV/atom
ΔE_f (raw) = 592 kJ/mol of formula units

Unit cell a=4.690 b=4.690 c=4.737 alpha=90.00 beta=90.00 gamma=90.00
Space group P4/mmm (No. 123)
One atom of each set of equivalent atoms:
B: 0.000 0.000 0.000 (multiplicity 1)
Sb: 0.000 0.500 0.000 (multiplicity 2)
Ir: 0.500 0.500 0.500 (multiplicity 1)
I: 0.000 0.000 0.500 (multiplicity 1)


Record 5
Compound: BSbIrI2
Source: Alexandria
Functional: PBE
Structure: relaxed

ΔE to the lowest computed polymorph = 0 meV per atom
N(E_F) = 0.47 states/eV/atom
ΔE_f (raw) = 623 kJ/mol of formula units

Unit cell a=5.670 b=5.670 c=4.938 alpha=90.00 beta=90.00 gamma=90.00
Space group P4/mmm (No. 123)
One atom of each set of equivalent atoms:
B: 0.000 0.000 0.000 (multiplicity 1)
Sb: 0.500 0.500 0.000 (multiplicity 1)
Ir: 0.500 0.500 0.500 (multiplicity 1)
I: 0.000 0.500 0.500 (multiplicity 2)


Record 6
Compound: ScB2IrI
Source: Alexandria
Functional: PBE
Structure: relaxed

N(E_F) = 0.68 states/eV/atom
ΔE_f (raw) = 859 kJ/mol of formula units

Unit cell a=4.499 b=4.499 c=5.011 alpha=90.00 beta=90.00 gamma=90.00
Space group P4/mmm (No. 123)
One atom of each set of equivalent atoms:
Sc: 0.000 0.000 0.000 (multiplicity 1)
B: 0.000 0.500 0.000 (multiplicity 2)
Ir: 0.000 0.000 0.500 (multiplicity 1)
I: 0.500 0.500 0.500 (multiplicity 1)


Record 7
Compound: SiBIr2I
Source: Alexandria
Functional: PBE
Structure: relaxed

N(E_F) = 0.35 states/eV/atom
ΔE_f (raw) = 374 kJ/mol of formula units

Unit cell a=4.231 b=4.231 c=4.533 alpha=90.00 beta=90.00 gamma=90.00
Space group P4/mmm (No. 123)
One atom of each set of equivalent atoms:
Si: 0.000 0.000 0.000 (multiplicity 1)
B: 0.000 0.000 0.500 (multiplicity 1)
Ir: 0.000 0.500 0.500 (multiplicity 2)
I: 0.500 0.500 0.000 (multiplicity 1)


Record 8
Compound: BTe2IrI
Source: Alexandria
Functional: PBE
Structure: relaxed

N(E_F) = 1.35 states/eV/atom
ΔE_f (raw) = 642 kJ/mol of formula units

Unit cell a=5.198 b=5.198 c=5.642 alpha=90.00 beta=90.00 gamma=90.00
Space group P4/mmm (No. 123)
One atom of each set of equivalent atoms:
B: 0.000 0.000 0.000 (multiplicity 1)
Te: 0.000 0.500 0.500 (multiplicity 2)
Ir: 0.500 0.500 0.500 (multiplicity 1)
I: 0.500 0.500 0.000 (multiplicity 1)